Entry 1:
TbPm4Nd10 | PBE | optimized geometry

Output
As for the mass density: 6.5 g/cm³. The formation energy comes out at 393.8 meV per atom. The magnetization is 0.0 μB per cell. The volume comes out at 1122.60 Å³ per cell.

Unit cell a=10.0618 b=10.0618 c=11.0885 alpha=90.00 beta=90.00 gamma=90.00
Closest atoms and distances in Å follow each position.
Space group I4/m (No. 87)
Symmetry-distinct sites (fractional):
Tb1 0.0000 0.0000 0.0000 (multiplicity 2)  8 Nd 3.16
Pm1 0.0577 0.7177 0.5000 (multiplicity 8)  8 Nd 3.58-3.95
Nd1 0.0000 0.5000 0.2500 (multiplicity 4)  4 Nd 3.17
Nd2 0.1212 0.7757 0.1665 (multiplicity 16)  1 Tb 3.16, 2 Nd 3.17-3.23

Entry 2:
Tb2PmNd9 | PBE | optimized geometry

Output
As for the mass density: 7.0 g/cm³. The formation energy comes out at 14.8 meV per atom. The magnetization is 0.0 μB per cell. The volume comes out at 415.05 Å³ per cell.

Unit cell a=5.1716 b=5.1716 c=15.5185 alpha=90.00 beta=90.00 gamma=90.00
Closest atoms and distances in Å follow each position.
Space group P4/mmm (No. 123)
Symmetry-distinct sites (fractional):
Tb1 0.0000 0.0000 0.1661 (multiplicity 2)  12 Nd 3.65-3.66
Pm1 0.0000 0.0000 0.5000 (multiplicity 1)  12 Nd 3.66-3.67
Nd1 0.0000 0.5000 0.0000 (multiplicity 2)  8 Nd 3.65-3.66, 4 Tb 3.65
Nd2 0.0000 0.5000 0.3322 (multiplicity 4)  2 Tb 3.65, 8 Nd 3.66-3.67, 2 Pm 3.67
Nd3 0.5000 0.5000 0.1657 (multiplicity 2)  8 Nd 3.65-3.66, 4 Tb 3.66
Nd4 0.5000 0.5000 0.5000 (multiplicity 1)  4 Pm 3.66, 8 Nd 3.67

Entry 3:
Tb4Pm9Nd11 | PBE | optimized geometry

Output
As for the mass density: 7.0 g/cm³. The formation energy comes out at 55.9 meV per atom. The magnetization is 0.0 μB per cell. The volume comes out at 1669.05 Å³ per cell.

Unit cell a=17.1325 b=26.2785 c=3.7072 alpha=90.00 beta=90.00 gamma=90.00
Closest atoms and distances in Å follow each position.
Space group Cmmm (No. 65)
Symmetry-distinct sites (fractional):
Tb1 0.1588 0.1012 0.0000 (multiplicity 8)  6 Nd 3.36-3.46, 2 Pm 3.55-3.56, 2 Tb 3.71
Pm1 0.0000 0.0000 0.0000 (multiplicity 2)  2 Pm 3.71, 4 Tb 3.80, 8 Nd 3.89-4.06
Pm2 0.1031 0.2313 0.0000 (multiplicity 8)  3 Pm 3.53-3.71, 1 Tb 3.55, 8 Nd 3.60-3.77
Pm3 0.1373 0.4252 0.0000 (multiplicity 8)  1 Tb 3.56, 8 Nd 3.58-3.80, 3 Pm 3.71-3.93
Nd1 0.0000 0.1303 0.5000 (multiplicity 4)  4 Tb 3.38, 4 Pm 3.69, 2 Nd 3.71
Nd2 0.0000 0.3365 0.5000 (multiplicity 4)  4 Nd 3.71-3.83, 8 Pm 3.77-3.80
Nd3 0.0000 0.5000 0.5000 (multiplicity 2)  8 Pm 3.58, 2 Nd 3.71
Nd4 0.2110 0.0000 0.5000 (multiplicity 4)  4 Tb 3.36, 2 Nd 3.71, 4 Pm 3.75
Nd5 0.2221 0.3193 0.5000 (multiplicity 8)  2 Tb 3.46, 6 Pm 3.60-3.76, 4 Nd 3.71-3.83